(1)
First-principles (GGA-PBE) data for crystalline Tb6Ru2Rh at its relaxed geometry, as listed in the Alexandria database.

abc: 6.6351 7.3032 9.5795
angles: 90.00 87.91 90.00
Sites, in units of the cell vectors:
Tb 0.8354 0.9578 0.2397
Tb 0.8232 0.6704 0.5722
Tb 0.8482 0.6695 0.9255
Tb 0.6518 0.1695 0.5745
Tb 0.6768 0.1704 0.9278
Tb 0.6646 0.4578 0.2603
Tb 0.1646 0.0422 0.7603
Tb 0.1768 0.3296 0.4278
Tb 0.1518 0.3305 0.0745
Tb 0.3482 0.8305 0.4255
Tb 0.3232 0.8296 0.0722
Tb 0.3354 0.5422 0.7397
Ru 0.9670 0.3690 0.7188
Ru 0.5330 0.8690 0.7812
Ru 0.4670 0.1310 0.2188
Ru 0.0330 0.6310 0.2812
Rh 0.5000 0.5000 0.0000
Rh 0.0000 0.0000 0.5000

Properties
The calculation puts the total magnetic moment at 0.000 μB/atom. For the formation enthalpy at 0 K, the calculation gives -381 meV per atom. For the calculated total energy, the calculation gives -6.346 eV per atom. The value obtained for the calculated density is 9011 kg/m3.

***

(2)
First-principles (GGA-PBE) data for crystalline Tb2Nd6Dy3Er at its relaxed geometry, as listed in the Alexandria database.

abc: 6.2722 6.2722 11.8688
angles: 95.04 95.04 120.00
Sites, in units of the cell vectors:
Tb 0.3333 0.6667 0.0000
Tb 0.6667 0.3333 0.0000
Nd 0.9164 0.5834 0.7501
Nd 0.7506 0.7506 0.2501
Nd 0.0836 0.4166 0.2499
Nd 0.5834 0.9164 0.7501
Nd 0.2494 0.2494 0.7499
Nd 0.4166 0.0836 0.2499
Dy 0.1666 0.8334 0.5000
Dy 0.8334 0.1666 0.5000
Dy 0.5000 0.5000 0.5000
Er 0.0000 0.0000 0.0000

Properties
The calculation puts the total magnetic moment at 0.000 μB/atom. For the formation enthalpy at 0 K, the calculation gives 11 meV per atom. For the calculated total energy, the calculation gives -4.675 eV per atom. The value obtained for the calculated density is 7667 kg/m3.

***

(3)
First-principles (GGA-PBE) data for crystalline Dy3TmIr8 at its relaxed geometry, as listed in the Alexandria database.

abc: 5.3534 5.3534 9.2639
angles: 73.21 73.21 60.00
Sites, in units of the cell vectors:
Dy 0.3751 0.3751 0.8748
Dy 0.9998 0.9998 0.0007
Dy 0.5002 0.5002 0.4995
Tm 0.8749 0.8749 0.3752
Ir 0.9370 0.4373 0.1883
Ir 0.4381 0.9376 0.6867
Ir 0.4373 0.4373 0.1883
Ir 0.9376 0.9376 0.6867
Ir 0.1875 0.1875 0.4374
Ir 0.6875 0.6875 0.9375
Ir 0.4373 0.9370 0.1883
Ir 0.9376 0.4381 0.6867

Properties
The calculation puts the total magnetic moment at 0.000 μB/atom. For the formation enthalpy at 0 K, the calculation gives -818 meV per atom. For the calculated total energy, the calculation gives -8.248 eV per atom. The value obtained for the calculated density is 16810 kg/m3.

***

(4)
First-principles (GGA-PBE) data for crystalline Ca2PbIO8 at its relaxed geometry, as listed in the Alexandria database.

abc: 5.0669 5.0680 6.9421
angles: 90.00 90.00 93.65
Last column: magnetic moment on the atom in μB.
Sites, in units of the cell vectors:
Ca 0.5000 0.5000 0.7545  0.00
Ca 0.5000 0.5000 0.2455  0.00
Pb 0.0000 0.0000 0.5000  -0.01
I 0.0000 0.0000 0.0000  -0.02
O 0.1772 0.8225 0.2009  0.12
O 0.7301 0.7305 0.0000  0.19
O 0.8228 0.1775 0.2009  0.12
O 0.8228 0.1775 0.7991  0.12
O 0.2699 0.2695 0.0000  0.19
O 0.1772 0.8225 0.7991  0.12
O 0.7109 0.7109 0.5000  0.04
O 0.2891 0.2891 0.5000  0.04

Properties
The calculation puts the total magnetic moment at 0.089 μB/atom. As for the uncorrected formation energy: -1301 meV per atom. For the calculated total energy, the calculation gives -5.378 eV per atom. The value obtained for the calculated density is 5061 kg/m3.

***

(5)
First-principles (GGA-PBE) data for crystalline SrTa4Zn at its relaxed geometry, as listed in the Alexandria database.

abc: 5.6926 5.6926 5.6926
angles: 60.00 60.00 60.00
Sites, in units of the cell vectors:
Sr 0.0000 0.0000 0.0000
Ta 0.8824 0.3725 0.3725
Ta 0.3725 0.3725 0.8824
Ta 0.3725 0.8824 0.3725
Ta 0.3725 0.3725 0.3725
Zn 0.7500 0.7500 0.7500

Properties
The calculation puts the total magnetic moment at 0.000 μB/atom. For the formation enthalpy at 0 K, the calculation gives 704 meV per atom. For the calculated total energy, the calculation gives -7.690 eV per atom. The value obtained for the calculated density is 11162 kg/m3.

***

(6)
First-principles (GGA-PBE) data for crystalline Tl2HgTePt at its relaxed geometry, as listed in the Alexandria database.

abc: 5.7354 5.1464 5.7354
angles: 90.00 90.00 90.00
Sites, in units of the cell vectors:
Tl 0.0000 0.0000 0.5000
Tl 0.5000 0.0000 0.0000
Te 0.5000 0.5000 0.5000
Hg 0.0000 0.0000 0.0000
Pt 0.0000 0.5000 0.0000

Properties
The calculation puts the total magnetic moment at 0.000 μB/atom. As for the uncorrected formation energy: 482 meV per atom. For the calculated total energy, the calculation gives -2.361 eV per atom. The value obtained for the calculated density is 9142 kg/m3.

***

(7)
First-principles (GGA-PBE) data for crystalline Hf3TiFe4 at its relaxed geometry, as listed in the Alexandria database.

abc: 3.0932 3.0932 12.3697
angles: 90.00 90.00 90.00
Last column: magnetic moment on the atom in μB.
Sites, in units of the cell vectors:
Hf 0.5000 0.5000 0.2444  -0.06
Hf 0.5000 0.5000 0.5000  -0.04
Hf 0.5000 0.5000 0.7556  -0.06
Fe 0.0000 0.0000 0.8840  0.26
Fe 0.0000 0.0000 0.1160  0.26
Fe 0.0000 0.0000 0.3722  0.10
Fe 0.0000 0.0000 0.6278  0.10
Ti 0.5000 0.5000 0.0000  -0.14

Properties
The calculation puts the total magnetic moment at 0.040 μB/atom. For the formation enthalpy at 0 K, the calculation gives -322 meV per atom. For the calculated total energy, the calculation gives -9.273 eV per atom. The value obtained for the calculated density is 11318 kg/m3.

***

(8)
First-principles (GGA-PBE) data for crystalline CeSm2Rh4 at its relaxed geometry, as listed in the Alexandria database.

abc: 5.1594 5.1594 6.7574
angles: 112.44 112.44 90.00
Sites, in units of the cell vectors:
Ce 0.0000 0.0000 0.0000
Sm 0.6932 0.6932 0.3864
Sm 0.3068 0.3068 0.6136
Rh 0.3766 0.8766 0.7533
Rh 0.8766 0.3766 0.7533
Rh 0.6234 0.1234 0.2467
Rh 0.1234 0.6234 0.2467

Properties
The calculation puts the total magnetic moment at 0.000 μB/atom. For the formation enthalpy at 0 K, the calculation gives -496 meV per atom. For the calculated total energy, the calculation gives -6.892 eV per atom. The value obtained for the calculated density is 9349 kg/m3.